## one
Material: ReGe3N
Method: DFT, PBE-GGA
State: optimized geometry

Calculated values
- DOS at the Fermi energy (states/eV/atom) = 0.588

```
5
Lattice="-4.336 1.722 1.170 -2.023 -4.125 -1.424 0.493 -1.776 4.443" Properties=species:S:1:pos:R:3 pbc="T T T"
Re 0.000 0.000 0.000
Ge 0.247 -0.888 2.221
Ge -2.168 0.861 0.585
Ge -1.011 -2.062 -0.712
N -2.933 -2.089 2.094
```

## two
Material: ReGe3N
Method: DFT, PBE-GGA
State: optimized geometry

Calculated values
- DOS at the Fermi energy (states/eV/atom) = 0.571

```
5
Lattice="-0.549 3.359 2.458 2.246 -1.848 3.028 3.504 1.711 -1.556" Properties=species:S:1:pos:R:3 pbc="T T T"
N 0.000 0.000 0.000
Ge 1.752 0.856 -0.778
Ge 1.123 -0.924 1.514
Ge -0.275 1.680 1.229
Re 2.601 1.611 1.965
```

Pick two: it beats the second-best structure by 0.153 eV/atom.

## one
Material: ReGeSN2
Method: DFT, PBE-GGA
State: optimized geometry

Calculated values
- DOS at the Fermi energy (states/eV/atom) = 0.499

```
5
Lattice="-1.276 0.139 -3.634 -3.569 -0.784 1.223 -0.929 5.039 0.519" Properties=species:S:1:pos:R:3 pbc="T T T"
Re 0.000 0.000 0.000
Ge -2.887 2.197 -0.946
N -1.785 -0.392 0.612
N -0.638 0.070 -1.817
S -0.465 2.520 0.260
```

## two
Material: ReGeSN2
Method: DFT, PBE-GGA
State: optimized geometry

Calculated values
- DOS at the Fermi energy (states/eV/atom) = 0.629

```
5
Lattice="-3.297 -1.140 1.301 0.292 -3.127 -2.000 2.230 -2.183 3.738" Properties=species:S:1:pos:R:3 pbc="T T T"
N -1.649 -0.570 0.650
S 1.115 -1.092 1.869
N 0.146 -1.563 -1.000
Ge 0.000 0.000 0.000
Re -0.388 -3.225 1.519
```

Pick one: it beats the second-best structure by 1.241 eV/atom.

## one
Material: ReGeS2N
Method: DFT, PBE-GGA
State: optimized geometry

Calculated values
- DOS at the Fermi energy (states/eV/atom) = 0.716

```
5
Lattice="4.835 0.000 0.000 0.000 4.835 0.000 0.000 0.000 3.439" Properties=species:S:1:pos:R:3 pbc="T T T"
S 2.417 0.000 0.000
Re 2.417 2.417 1.720
S 0.000 2.417 0.000
Ge 0.000 0.000 0.000
N 0.000 0.000 1.720
```

## two
Material: ReGeS2N
Method: DFT, PBE-GGA
State: optimized geometry

Calculated values
- DOS at the Fermi energy (states/eV/atom) = 0.607

```
5
Lattice="-4.807 0.494 0.068 -0.334 -2.694 -3.999 -0.287 -3.081 2.100" Properties=species:S:1:pos:R:3 pbc="T T T"
Re 0.000 0.000 0.000
N -0.143 -1.541 1.050
Ge -2.714 -2.641 -0.915
S -0.167 -1.347 -1.999
S -2.404 0.247 0.034
```

Pick two: it beats the second-best structure by 1.084 eV/atom.